[1]
# Hf2Si2Pt (PBE, relaxed)
data_Hf2Si2Pt
_chemical_formula_sum 'Hf4 Si4 Pt2'
_space_group_name_H-M_alt 'I 4/m m m'
_space_group_IT_number 139
_space_group_name_Hall '-I 4 2'
_cell_length_a 4.295
_cell_length_b 4.295
_cell_length_c 10.573
_cell_angle_alpha 90.00
_cell_angle_beta 90.00
_cell_angle_gamma 90.00
loop_
_atom_site_label
_atom_site_type_symbol
_atom_site_fract_x
_atom_site_fract_y
_atom_site_fract_z
_atom_site_occupancy
Hf1 Hf 0.000 0.500 0.250 1
Si1 Si 0.000 0.000 0.103 1
Pt1 Pt 0.000 0.000 0.500 1
# uncorrected formation energy: 0.113 eV per atom
# Fermi-level density of states: 12.56 states/eV/cell
# crystal system: tetragonal

[2]
# HfSiPt (PBE, relaxed)
data_HfSiPt
_chemical_formula_sum 'Hf2 Si2 Pt2'
_space_group_name_H-M_alt 'P m m m'
_space_group_IT_number 47
_space_group_name_Hall '-P 2 2'
_cell_length_a 3.324
_cell_length_b 4.066
_cell_length_c 7.527
_cell_angle_alpha 90.00
_cell_angle_beta 90.00
_cell_angle_gamma 90.00
loop_
_atom_site_label
_atom_site_type_symbol
_atom_site_fract_x
_atom_site_fract_y
_atom_site_fract_z
_atom_site_occupancy
Hf1 Hf 0.000 0.000 0.000 1
Hf2 Hf 0.000 0.500 0.500 1
Si1 Si 0.500 0.000 0.342 1
Pt1 Pt 0.500 0.500 0.178 1
# uncorrected formation energy: -0.898 eV per atom
# Fermi-level density of states: 2.17 states/eV/cell
# crystal system: orthorhombic

[3]
# Hf2Si2Pt (PBE, relaxed)
data_Hf2Si2Pt
_chemical_formula_sum 'Hf4 Si4 Pt2'
_space_group_name_H-M_alt 'P 4/m b m'
_space_group_IT_number 127
_space_group_name_Hall '-P 4 2ab'
_cell_length_a 6.379
_cell_length_b 6.379
_cell_length_c 4.070
_cell_angle_alpha 90.00
_cell_angle_beta 90.00
_cell_angle_gamma 90.00
loop_
_atom_site_label
_atom_site_type_symbol
_atom_site_fract_x
_atom_site_fract_y
_atom_site_fract_z
_atom_site_occupancy
Hf1 Hf 0.171 0.329 0.000 1
Si1 Si 0.130 0.630 0.500 1
Pt1 Pt 0.000 0.000 0.500 1
# uncorrected formation energy: -0.959 eV per atom
# Fermi-level density of states: 3.39 states/eV/cell
# crystal system: tetragonal

[4]
# HfSiPt2 (PBE, relaxed)
data_HfSiPt2
_chemical_formula_sum 'Hf8 Si8 Pt16'
_space_group_name_H-M_alt 'P n m a'
_space_group_IT_number 62
_space_group_name_Hall '-P 2ac 2n'
_cell_length_a 14.431
_cell_length_b 6.897
_cell_length_c 5.204
_cell_angle_alpha 90.00
_cell_angle_beta 90.00
_cell_angle_gamma 90.00
loop_
_atom_site_label
_atom_site_type_symbol
_atom_site_fract_x
_atom_site_fract_y
_atom_site_fract_z
_atom_site_occupancy
Hf1 Hf 0.107 0.250 0.250 1
Hf2 Hf 0.141 0.750 0.023 1
Si1 Si 0.071 0.750 0.519 1
Si2 Si 0.180 0.250 0.766 1
Pt1 Pt 0.032 0.047 0.760 1
Pt2 Pt 0.216 0.547 0.533 1
# uncorrected formation energy: -1.033 eV per atom
# Fermi-level density of states: 11.75 states/eV/cell
# crystal system: orthorhombic

[5]
# HfSiPt (PBE, relaxed)
data_HfSiPt
_chemical_formula_sum 'Hf2 Si2 Pt2'
_space_group_name_H-M_alt 'P -1'
_space_group_IT_number 2
_space_group_name_Hall '-P 1'
_cell_length_a 3.809
_cell_length_b 5.462
_cell_length_c 5.750
_cell_angle_alpha 65.52
_cell_angle_beta 72.86
_cell_angle_gamma 87.18
loop_
_atom_site_label
_atom_site_type_symbol
_atom_site_fract_x
_atom_site_fract_y
_atom_site_fract_z
_atom_site_occupancy
Hf1 Hf 0.172 0.184 0.141 1
Si1 Si 0.169 0.624 0.253 1
Pt1 Pt 0.406 0.215 0.563 1
# uncorrected formation energy: -0.839 eV per atom
# Fermi-level density of states: 2.52 states/eV/cell
# crystal system: triclinic

[6]
# HfSiPt (PBE, relaxed)
data_HfSiPt
_chemical_formula_sum 'Hf4 Si4 Pt4'
_space_group_name_H-M_alt 'C 1 2/m 1'
_space_group_IT_number 12
_space_group_name_Hall '-C 2y'
_cell_length_a 9.706
_cell_length_b 3.864
_cell_length_c 6.549
_cell_angle_alpha 90.00
_cell_angle_beta 126.83
_cell_angle_gamma 90.00
loop_
_atom_site_label
_atom_site_type_symbol
_atom_site_fract_x
_atom_site_fract_y
_atom_site_fract_z
_atom_site_occupancy
Hf1 Hf 0.070 0.000 0.317 1
Si1 Si 0.145 0.500 0.676 1
Pt1 Pt 0.171 0.500 0.082 1
# uncorrected formation energy: -1.026 eV per atom
# Fermi-level density of states: 3.22 states/eV/cell
# crystal system: monoclinic